# 1
Ge2SbAu2 | SCAN | PBEsol geometry

Summary:
Uncorrected formation energy, eV/atom: 0.091
D(E_F), states/eV per cell: 3.83

```
Ge2SbAu2
1.0
4.086 0.000 0.000
0.000 4.086 0.000
0.000 0.000 12.121
Ge Sb Au
4 2 4
Cartesian
0.000 2.043 3.030
0.000 2.043 9.091
2.043 0.000 3.030
2.043 0.000 9.091
0.000 0.000 0.000
2.043 2.043 6.060
0.000 0.000 4.731
0.000 0.000 7.390
2.043 2.043 1.330
2.043 2.043 10.791
```

=====

# 2
Sr2GeSbAu | SCAN | PBEsol geometry

Summary:
Uncorrected formation energy, eV/atom: -0.100
D(E_F), states/eV per cell: 2.48

```
Sr2GeSbAu
1.0
6.182 0.000 0.000
0.000 6.182 0.000
0.000 0.000 5.009
Sr Ge Sb Au
2 1 1 1
Cartesian
0.000 3.091 0.000
3.091 0.000 0.000
0.000 0.000 2.504
3.091 3.091 0.000
3.091 3.091 2.504
```